[1]
Density functional theory data (GGA-PBE) for a geometry-optimized ZrUIr2 structure.

As for the energy relative to the elements: -0.572 eV/atom.

Cell: 3.2526 3.2526 7.1356 Å, 90.00 90.00 90.00°
With the nearest neighbours (Å) after each atom.
Fractional coordinates of all 4 atoms:
Zr  0.0000  0.0000  0.0000  8 Ir 2.84
U  0.0000  0.0000  0.5000  8 Ir 2.98, 4 U 3.25
Ir  0.5000  0.5000  0.2342  4 Zr 2.84, 4 U 2.98
Ir  0.5000  0.5000  0.7658  4 Zr 2.84, 4 U 2.98

=====

[2]
Density functional theory data (GGA-PBE) for a geometry-optimized ZrUIr2 structure.

As for the energy relative to the elements: -0.527 eV/atom.

Cell: 4.7662 4.7662 4.7662 Å, 60.00 60.00 60.00°
With the nearest neighbours (Å) after each atom.
Fractional coordinates of all 4 atoms:
Zr  0.0000  0.0000  0.0000  8 Ir 2.92
U  0.5000  0.5000  0.5000  8 Ir 2.92
Ir  0.2500  0.2500  0.2500  4 Zr 2.92, 4 U 2.92
Ir  0.7500  0.7500  0.7500  4 Zr 2.92, 4 U 2.92

=====

[3]
Density functional theory data (GGA-PBE) for a geometry-optimized ZrUIr6 structure.

As for the energy relative to the elements: -0.712 eV/atom.

Cell: 5.6796 5.6796 4.0156 Å, 90.00 90.00 90.00°
With the nearest neighbours (Å) after each atom.
Fractional coordinates of all 8 atoms:
Zr  0.0000  0.0000  0.0000  12 Ir 2.84-2.86
U  0.5000  0.5000  0.0000  12 Ir 2.82-2.84
Ir  0.0000  0.5000  0.0000  8 Ir 2.84, 2 Zr 2.84, 2 U 2.84
Ir  0.2532  0.2532  0.5000  8 Ir 2.80-2.88, 2 U 2.82, 2 Zr 2.86
Ir  0.2532  0.7468  0.5000  8 Ir 2.80-2.88, 2 U 2.82, 2 Zr 2.86
Ir  0.5000  0.0000  0.0000  8 Ir 2.84, 2 Zr 2.84, 2 U 2.84
Ir  0.7468  0.2532  0.5000  8 Ir 2.80-2.88, 2 U 2.82, 2 Zr 2.86
Ir  0.7468  0.7468  0.5000  8 Ir 2.80-2.88, 2 U 2.82, 2 Zr 2.86

=====

[4]
Density functional theory data (GGA-PBE) for a geometry-optimized Zr2UIr structure.

As for the energy relative to the elements: -0.144 eV/atom.

Cell: 4.9974 4.9974 3.1432 Å, 90.00 90.00 90.00°
With the nearest neighbours (Å) after each atom.
Fractional coordinates of all 4 atoms:
Zr  0.0000  0.5000  0.0000  4 Ir 2.95, 4 U 2.95, 2 Zr 3.14
Zr  0.5000  0.0000  0.0000  4 Ir 2.95, 4 U 2.95, 2 Zr 3.14
U  0.0000  0.0000  0.5000  8 Zr 2.95, 2 U 3.14
Ir  0.5000  0.5000  0.5000  8 Zr 2.95, 2 Ir 3.14

=====

[5]
Density functional theory data (GGA-PBE) for a geometry-optimized ZrUIr2 structure.

As for the energy relative to the elements: -0.514 eV/atom.

Cell: 4.3544 4.3544 3.9254 Å, 90.00 90.00 90.00°
With the nearest neighbours (Å) after each atom.
Fractional coordinates of all 4 atoms:
Zr  0.0000  0.0000  0.0000  8 Ir 2.93, 4 U 3.08
U  0.5000  0.5000  0.0000  8 Ir 2.93, 4 Zr 3.08
Ir  0.0000  0.5000  0.5000  4 Zr 2.93, 4 U 2.93, 4 Ir 3.08
Ir  0.5000  0.0000  0.5000  4 Zr 2.93, 4 U 2.93, 4 Ir 3.08

=====

[6]
Density functional theory data (GGA-PBE) for a geometry-optimized Zr2UIr structure.

As for the energy relative to the elements: -0.069 eV/atom.

Cell: 4.8063 4.8063 4.8063 Å, 60.00 60.00 60.00°
With the nearest neighbours (Å) after each atom.
Fractional coordinates of all 4 atoms:
Zr  0.2500  0.2500  0.2500  4 U 2.94, 4 Ir 2.94
Zr  0.7500  0.7500  0.7500  4 U 2.94, 4 Ir 2.94
U  0.0000  0.0000  0.0000  8 Zr 2.94
Ir  0.5000  0.5000  0.5000  8 Zr 2.94

=====

[7]
Density functional theory data (GGA-PBE) for a geometry-optimized Zr2UIr structure.

As for the energy relative to the elements: -0.236 eV/atom.

Cell: 3.2006 3.2006 8.0745 Å, 90.00 90.00 90.00°
With the nearest neighbours (Å) after each atom.
Fractional coordinates of all 4 atoms:
Zr  0.0000  0.0000  0.2153  4 Ir 2.85
Zr  0.0000  0.0000  0.7847  4 Ir 2.85
U  0.5000  0.5000  0.5000  4 U 3.20, 8 Zr 3.23
Ir  0.5000  0.5000  0.0000  8 Zr 2.85

=====

[8]
Density functional theory data (GGA-PBE) for a geometry-optimized VIr5 structure.

As for the energy relative to the elements: 0.094 eV/atom.

Cell: 4.8654 4.8654 7.6410 Å, 90.00 90.00 90.00°
With the nearest neighbours (Å) after each atom.
Fractional coordinates of all 12 atoms:
V  0.0000  0.5000  0.0626  6 Ir 2.48-2.55
V  0.5000  0.0000  0.9374  6 Ir 2.48-2.55
Ir  0.0000  0.0000  0.0000  4 V 2.48, 4 Ir 2.64
Ir  0.1969  0.3031  0.4008  10 Ir 2.61-2.91, 1 V 2.92
Ir  0.1988  0.3012  0.7425  2 V 2.55-2.80, 8 Ir 2.61-2.74
Ir  0.3012  0.8012  0.2575  2 V 2.55-2.80, 8 Ir 2.61-2.74
Ir  0.3031  0.8031  0.5992  10 Ir 2.61-2.91, 1 V 2.92
Ir  0.5000  0.5000  0.0000  4 V 2.48, 4 Ir 2.64
Ir  0.6969  0.1969  0.5992  10 Ir 2.61-2.91, 1 V 2.92
Ir  0.6988  0.1988  0.2575  2 V 2.55-2.80, 8 Ir 2.61-2.74
Ir  0.8012  0.6988  0.7425  2 V 2.55-2.80, 8 Ir 2.61-2.74
Ir  0.8031  0.6969  0.4008  10 Ir 2.61-2.91, 1 V 2.92

=====

[9]
Density functional theory data (GGA-PBE) for a geometry-optimized VIr structure.

As for the energy relative to the elements: -0.428 eV/atom.

Cell: 10.3017 4.1348 5.3093 Å, 90.00 90.00 90.00°
With the nearest neighbours (Å) after each atom.
Fractional coordinates of all 16 atoms:
V  0.0537  0.2500  0.1154  5 Ir 2.52-2.81, 4 V 2.65-2.71
V  0.1764  0.7500  0.3457  6 Ir 2.48-2.74, 2 V 2.71
V  0.3236  0.2500  0.8457  6 Ir 2.48-2.74, 2 V 2.71
V  0.4463  0.7500  0.6154  5 Ir 2.52-2.81, 4 V 2.65-2.71
V  0.5537  0.2500  0.3846  5 Ir 2.52-2.81, 4 V 2.65-2.71
V  0.6764  0.7500  0.1543  6 Ir 2.48-2.74, 2 V 2.71
V  0.8236  0.2500  0.6543  6 Ir 2.48-2.74, 2 V 2.71
V  0.9463  0.7500  0.8846  5 Ir 2.52-2.81, 4 V 2.65-2.71
Ir  0.0729  0.2500  0.6191  8 V 2.58-2.85, 5 Ir 2.76-2.85
Ir  0.1907  0.7500  0.8754  4 V 2.48-2.52, 3 Ir 2.76
Ir  0.3093  0.2500  0.3754  4 V 2.48-2.52, 3 Ir 2.76
Ir  0.4271  0.7500  0.1191  8 V 2.58-2.85, 5 Ir 2.76-2.85
Ir  0.5729  0.2500  0.8809  8 V 2.58-2.85, 5 Ir 2.76-2.85
Ir  0.6907  0.7500  0.6246  4 V 2.48-2.52, 3 Ir 2.76
Ir  0.8093  0.2500  0.1246  4 V 2.48-2.52, 3 Ir 2.76
Ir  0.9271  0.7500  0.3809  8 V 2.58-2.85, 5 Ir 2.76-2.85

=====

[10]
Density functional theory data (GGA-PBE) for a geometry-optimized VIr structure.

As for the energy relative to the elements: 0.083 eV/atom.

Cell: 3.5998 3.5998 3.5998 Å, 135.79 100.73 95.57°
With the nearest neighbours (Å) after each atom.
Fractional coordinates of all 2 atoms:
V  0.0000  0.0000  0.0000  6 Ir 2.42-2.67
Ir  0.5000  0.5000  0.0000  6 V 2.42-2.67

=====

[11]
Density functional theory data (GGA-PBE) for a geometry-optimized VIr structure.

As for the energy relative to the elements: 0.425 eV/atom.

Cell: 4.2234 4.2234 4.8876 Å, 90.00 90.00 120.00°
With the nearest neighbours (Å) after each atom.
Fractional coordinates of all 4 atoms:
V  0.3333  0.6667  0.2500  5 Ir 2.44
V  0.6667  0.3333  0.7500  5 Ir 2.44
Ir  0.3333  0.6667  0.7500  5 V 2.44
Ir  0.6667  0.3333  0.2500  5 V 2.44

=====

[12]
Density functional theory data (GGA-PBE) for a geometry-optimized V13Ir2 structure.

As for the energy relative to the elements: 0.459 eV/atom.

Cell: 7.5086 7.5086 7.5086 Å, 52.58 52.58 52.58°
With the nearest neighbours (Å) after each atom.
Fractional coordinates of all 15 atoms:
V  0.0000  0.0000  0.0000  6 V 2.47, 2 Ir 2.55
V  0.1107  0.1107  0.5004  2 Ir 2.46-2.58, 5 V 2.54-2.59
V  0.1107  0.5004  0.1107  2 Ir 2.46-2.58, 5 V 2.54-2.59
V  0.2426  0.2426  0.6305  6 V 2.47-2.58
V  0.2426  0.6305  0.2426  6 V 2.47-2.58
V  0.3695  0.7574  0.7574  6 V 2.47-2.58
V  0.5004  0.1107  0.1107  2 Ir 2.46-2.58, 5 V 2.54-2.59
V  0.4996  0.8893  0.8893  2 Ir 2.46-2.58, 5 V 2.54-2.59
V  0.6305  0.2426  0.2426  6 V 2.47-2.58
V  0.7574  0.3695  0.7574  6 V 2.47-2.58
V  0.7574  0.7574  0.3695  6 V 2.47-2.58
V  0.8893  0.4996  0.8893  2 Ir 2.46-2.58, 5 V 2.54-2.59
V  0.8893  0.8893  0.4996  2 Ir 2.46-2.58, 5 V 2.54-2.59
Ir  0.1319  0.1319  0.1319  7 V 2.46-2.58
Ir  0.8681  0.8681  0.8681  7 V 2.46-2.58

=====

[13]
Density functional theory data (GGA-PBE) for a geometry-optimized VIr2 structure.

As for the energy relative to the elements: -0.350 eV/atom.

Cell: 6.0055 6.0055 6.0055 Å, 153.71 153.71 37.53°
With the nearest neighbours (Å) after each atom.
Fractional coordinates of all 3 atoms:
V  0.0000  0.0000  0.0000  8 Ir 2.66, 4 V 2.73
Ir  0.3394  0.3394  0.0000  4 V 2.66, 8 Ir 2.73-2.80
Ir  0.6606  0.6606  0.0000  4 V 2.66, 8 Ir 2.73-2.80

=====

[14]
Density functional theory data (GGA-PBE) for a geometry-optimized VIr structure.

As for the energy relative to the elements: -0.507 eV/atom.

Cell: 5.3344 5.3344 3.9288 Å, 90.00 90.00 93.80°
With the nearest neighbours (Å) after each atom.
Fractional coordinates of all 8 atoms:
V  0.0000  0.0000  0.0000  4 V 2.63, 8 Ir 2.67-2.78
V  0.2237  0.7763  0.5000  4 V 2.63-2.91, 8 Ir 2.63-2.73
V  0.5000  0.5000  0.0000  8 Ir 2.58-2.67
V  0.7763  0.2237  0.5000  4 V 2.63-2.91, 8 Ir 2.63-2.73
Ir  0.0000  0.5000  0.0000  8 V 2.67-2.69, 4 Ir 2.77
Ir  0.2696  0.2696  0.5000  8 V 2.58-2.78, 4 Ir 2.77
Ir  0.5000  0.0000  0.0000  8 V 2.67-2.69, 4 Ir 2.77
Ir  0.7304  0.7304  0.5000  8 V 2.58-2.78, 4 Ir 2.77

=====

[15]
Density functional theory data (GGA-PBE) for a geometry-optimized VIr structure.

As for the energy relative to the elements: -0.316 eV/atom.

Cell: 2.6975 4.4232 4.7257 Å, 90.00 90.00 90.00°
With the nearest neighbours (Å) after each atom.
Fractional coordinates of all 4 atoms:
V  0.2500  0.2500  0.1128  6 Ir 2.56-2.72, 6 V 2.70-2.80
V  0.7500  0.7500  0.8872  6 Ir 2.56-2.72, 6 V 2.70-2.80
Ir  0.2500  0.7500  0.3876  6 V 2.56-2.72, 6 Ir 2.70-2.80
Ir  0.7500  0.2500  0.6124  6 V 2.56-2.72, 6 Ir 2.70-2.80

=====

[16]
Density functional theory data (GGA-PBE) for a geometry-optimized V3Ir structure.

As for the energy relative to the elements: -0.182 eV/atom.

Cell: 3.8177 3.8177 3.8177 Å, 90.00 90.00 90.00°
With the nearest neighbours (Å) after each atom.
Fractional coordinates of all 4 atoms:
V  0.0000  0.0000  0.5000  4 Ir 2.70, 8 V 2.70
V  0.0000  0.5000  0.0000  4 Ir 2.70, 8 V 2.70
V  0.5000  0.0000  0.0000  4 Ir 2.70, 8 V 2.70
Ir  0.5000  0.5000  0.5000  12 V 2.70

=====

[17]
Density functional theory data (GGA-PBE) for a geometry-optimized V5Ir structure.

As for the energy relative to the elements: -0.303 eV/atom.

Cell: 6.6528 6.6528 2.9782 Å, 90.00 90.00 142.10°
With the nearest neighbours (Å) after each atom.
Fractional coordinates of all 6 atoms:
V  0.0000  0.0000  0.0000  4 V 2.56, 4 Ir 2.62
V  0.1658  0.8342  0.5000  8 V 2.54-2.62
V  0.3292  0.6708  0.0000  6 V 2.54-2.62, 2 Ir 2.62
V  0.6708  0.3292  0.0000  6 V 2.54-2.62, 2 Ir 2.62
V  0.8342  0.1658  0.5000  8 V 2.54-2.62
Ir  0.5000  0.5000  0.5000  8 V 2.62

=====

[18]
Density functional theory data (GGA-PBE) for a geometry-optimized VIr structure.

As for the energy relative to the elements: 0.617 eV/atom.

Cell: 3.8738 3.8738 3.8738 Å, 60.00 60.00 60.00°
With the nearest neighbours (Å) after each atom.
Fractional coordinates of all 2 atoms:
V  0.0000  0.0000  0.0000  4 Ir 2.37
Ir  0.7500  0.7500  0.7500  4 V 2.37

=====

[19]
Density functional theory data (GGA-PBE) for a geometry-optimized VIr structure.

As for the energy relative to the elements: -0.419 eV/atom.

Cell: 4.6864 4.6864 4.6430 Å, 97.78 97.78 34.01°
With the nearest neighbours (Å) after each atom.
Fractional coordinates of all 4 atoms:
V  0.1147  0.1147  0.3466  7 Ir 2.57-2.74, 3 V 2.66-2.74
V  0.8853  0.8853  0.6534  7 Ir 2.57-2.74, 3 V 2.66-2.74
Ir  0.3705  0.3705  0.1584  7 V 2.57-2.74, 4 Ir 2.74-2.79
Ir  0.6295  0.6295  0.8416  7 V 2.57-2.74, 4 Ir 2.74-2.79

=====

[20]
Density functional theory data (GGA-PBE) for a geometry-optimized VIr structure.

As for the energy relative to the elements: 0.216 eV/atom.

Cell: 5.0325 5.0325 4.9281 Å, 90.00 90.00 90.00°
With the nearest neighbours (Å) after each atom.
Fractional coordinates of all 8 atoms:
V  0.2013  0.2013  0.0000  6 Ir 2.46-2.57
V  0.2987  0.7013  0.5000  6 Ir 2.46-2.57
V  0.7013  0.2987  0.5000  6 Ir 2.46-2.57
V  0.7987  0.7987  0.0000  6 Ir 2.46-2.57
Ir  0.2041  0.2041  0.5000  6 V 2.46-2.57
Ir  0.2959  0.7041  0.0000  6 V 2.46-2.57
Ir  0.7041  0.2959  0.0000  6 V 2.46-2.57
Ir  0.7959  0.7959  0.5000  6 V 2.46-2.57